Record 1
Tl3Cl5: relaxed, PBE.

Calculated values
Energy in eV/atom: -2.731

Cell: 8.345 8.345 7.620 Å, 90.00 90.00 120.00°
Element x y z (fractional)
Tl 0.607 0.607 0.750
Tl 0.393 0.000 0.750
Tl 0.393 0.393 0.250
Tl 0.607 0.000 0.250
Tl 0.000 0.607 0.250
Tl 0.000 0.393 0.750
Cl 0.000 0.252 0.250
Cl 0.000 0.748 0.750
Cl 0.667 0.333 0.500
Cl 0.667 0.333 0.000
Cl 0.748 0.000 0.750
Cl 0.252 0.000 0.250
Cl 0.333 0.667 0.500
Cl 0.333 0.667 0.000
Cl 0.748 0.748 0.250
Cl 0.252 0.252 0.750

---

Record 2
TlCl4: relaxed, PBE.

Calculated values
Energy in eV/atom: -2.073

Cell: 5.289 5.289 5.289 Å, 90.00 90.00 90.00°
Element x y z (fractional)
Cl 0.500 0.000 0.500
Cl 0.000 0.000 0.000
Cl 0.500 0.500 0.000
Cl 0.000 0.500 0.500
Tl 0.500 0.500 0.500

---

Record 3
TlCl2: relaxed, PBE.

Calculated values
Energy in eV/atom: -2.396

Cell: 5.020 5.020 4.062 Å, 90.00 90.00 120.00°
Element x y z (fractional)
Cl 0.333 0.667 0.000
Cl 0.667 0.333 0.000
Tl 0.000 0.000 0.500

---

Record 4
TlCl2: relaxed, PBE.

Calculated values
Energy in eV/atom: -2.533

Cell: 6.940 6.940 6.940 Å, 149.68 149.68 43.42°
Element x y z (fractional)
Cl 0.626 0.626 0.000
Cl 0.374 0.374 0.000
Tl 0.000 0.000 0.000

---

Record 5
TlCl2: relaxed, PBE.

Calculated values
Energy in eV/atom: -2.496

Cell: 5.653 5.653 5.653 Å, 133.72 133.72 67.52°
Element x y z (fractional)
Cl 0.139 0.139 0.000
Cl 0.861 0.861 0.000
Tl 0.500 0.500 0.000

---

Record 6
TlCl2: relaxed, PBE.

Calculated values
Energy in eV/atom: -2.700

Cell: 4.193 13.655 7.098 Å, 90.00 90.00 90.00°
Element x y z (fractional)
Cl 0.750 0.009 0.217
Cl 0.250 0.259 0.389
Cl 0.250 0.759 0.111
Cl 0.750 0.741 0.611
Cl 0.250 0.491 0.717
Cl 0.750 0.509 0.283
Cl 0.250 0.991 0.783
Cl 0.750 0.241 0.889
Tl 0.750 0.866 0.923
Tl 0.250 0.134 0.077
Tl 0.250 0.634 0.423
Tl 0.750 0.366 0.577

---

Record 7
Tl5Cl4: relaxed, PBE.

Calculated values
Relative energy among the computed polymorphs in meV per atom: 0

Cell: 9.702 9.702 6.823 Å, 90.00 90.00 120.00°
Element x y z (fractional)
Tl 0.333 0.667 0.500
Tl 0.667 0.333 0.500
Tl 0.731 0.000 0.250
Tl 0.000 0.269 0.750
Tl 0.269 0.000 0.750
Tl 0.731 0.731 0.750
Tl 0.269 0.269 0.250
Tl 0.333 0.667 0.000
Tl 0.000 0.731 0.250
Tl 0.667 0.333 0.000
Cl 0.000 0.625 0.750
Cl 0.000 0.375 0.250
Cl 0.375 0.375 0.750
Cl 0.625 0.000 0.750
Cl 0.375 0.000 0.250
Cl 0.000 0.000 0.500
Cl 0.625 0.625 0.250
Cl 0.000 0.000 0.000

---

Record 8
Tl2Cl: relaxed, PBE.

Calculated values
Relative energy among the computed polymorphs in meV per atom: 9

Cell: 6.424 6.424 7.745 Å, 76.80 76.80 37.06°
Element x y z (fractional)
Tl 0.653 0.653 0.691
Tl 0.938 0.938 0.578
Tl 0.618 0.618 0.246
Tl 0.312 0.312 0.953
Cl 0.021 0.021 0.977
Cl 0.291 0.291 0.388

---

Taking the records one at a time from the top gives Fermi-level density of states values of 1.039; 1.457; 0.719; 0.592; 0.409; 0.698; 0.349; 0.285 states/eV/atom.